Entry 1:
# Pm6MgSi4

Pm6MgSi4 after structural relaxation (PBE, the Alexandria database).

a = 4.1182 Å, b = 9.1750 Å, c = 9.1750 Å
α = 120.00°, β = 90.00°, γ = 90.00°
Sites, in units of the cell vectors:
Pm (0.0000, 0.5390, 0.0779)
Pm (0.5000, 0.6176, 0.8088)
Pm (0.0000, 0.5390, 0.4610)
Pm (0.0000, 0.9221, 0.4610)
Pm (0.5000, 0.1912, 0.8088)
Pm (0.5000, 0.1912, 0.3824)
Mg (0.0000, 0.0000, 0.0000)
Si (0.5000, 0.8260, 0.6520)
Si (0.5000, 0.3480, 0.1740)
Si (0.5000, 0.8260, 0.1740)
Si (0.0000, 0.3333, 0.6667)

Summary:
energy: -5.00 eV per atom
DOS(E_F): 11.7 states/eV/f.u.
energy relative to the elements, uncorrected: -0.287 eV/atom

---

Entry 2:
# Pm3MgSi3

Pm3MgSi3 after structural relaxation (PBE, the Alexandria database).

a = 5.9182 Å, b = 8.8501 Å, c = 8.8501 Å
α = 120.00°, β = 90.00°, γ = 90.00°
Sites, in units of the cell vectors:
Pm (0.7500, 0.6957, 0.6471)
Pm (0.7500, 0.3529, 0.0486)
Pm (0.7500, 0.9514, 0.3043)
Pm (0.2500, 0.3043, 0.3529)
Pm (0.2500, 0.6471, 0.9514)
Pm (0.2500, 0.0486, 0.6957)
Mg (0.2500, 0.6667, 0.3333)
Mg (0.7500, 0.3333, 0.6667)
Si (0.2500, 0.6823, 0.6406)
Si (0.2500, 0.3594, 0.0417)
Si (0.2500, 0.9583, 0.3177)
Si (0.7500, 0.3177, 0.3594)
Si (0.7500, 0.6406, 0.9583)
Si (0.7500, 0.0417, 0.6823)

Summary:
energy: -4.97 eV per atom
DOS(E_F): 4.6 states/eV/f.u.
energy relative to the elements, uncorrected: -0.379 eV/atom

---

Entry 3:
# PmMg2Si2

PmMg2Si2 after structural relaxation (PBE, the Alexandria database).

a = 4.2465 Å, b = 4.2465 Å, c = 6.5143 Å
α = 70.93°, β = 70.93°, γ = 89.97°
Sites, in units of the cell vectors:
Pm (0.0000, 0.0000, 0.0000)
Mg (0.2500, 0.7500, 0.5000)
Mg (0.7500, 0.2500, 0.5000)
Si (0.6026, 0.6026, 0.7950)
Si (0.3974, 0.3974, 0.2050)

Summary:
energy: -4.18 eV per atom
DOS(E_F): 1.9 states/eV/f.u.
energy relative to the elements, uncorrected: -0.421 eV/atom
distance to the lowest polymorph of the same formula: 0 meV per atom

---

Entry 4:
# Pm3MgSi

Pm3MgSi after structural relaxation (PBE, the Alexandria database).

a = 7.4655 Å, b = 7.4655 Å, c = 7.4655 Å
α = 90.00°, β = 90.00°, γ = 90.00°
Last column: magnetic moment on the atom in μB.
Sites, in units of the cell vectors:
Pm (0.5000, 0.5000, 0.5000)  0.67
Pm (0.2327, 0.2327, 0.2327)  0.18
Pm (0.7673, 0.7673, 0.2327)  0.18
Pm (0.7673, 0.2327, 0.7673)  0.18
Pm (0.2327, 0.7673, 0.7673)  0.18
Pm (0.2327, 0.2327, 0.7673)  0.18
Pm (0.7673, 0.7673, 0.7673)  0.18
Pm (0.2327, 0.7673, 0.2327)  0.18
Pm (0.7673, 0.2327, 0.2327)  0.18
Mg (0.0000, 0.5000, 0.5000)  0.00
Mg (0.5000, 0.0000, 0.5000)  0.00
Mg (0.5000, 0.5000, 0.0000)  0.00
Si (0.5000, 0.0000, 0.0000)  0.04
Si (0.0000, 0.5000, 0.0000)  0.04
Si (0.0000, 0.0000, 0.5000)  0.04

Summary:
energy: -4.46 eV per atom
DOS(E_F): 6.3 states/eV/f.u.
energy relative to the elements, uncorrected: -0.204 eV/atom